## Na3Ag2Sn3 (PBE)

Data for a geometry-optimized Na3Ag2Sn3 structure.

Unit cell a=4.857 b=6.019 c=15.468 alpha=90.00 beta=90.00 gamma=113.80
Element x y z (fractional)
Na  0.925  0.851  0.388
Na  0.075  0.149  0.888
Na  0.925  0.851  0.112
Na  0.075  0.149  0.612
Na  0.665  0.329  0.250
Na  0.335  0.671  0.750
Ag  0.780  0.560  0.895
Ag  0.220  0.440  0.395
Ag  0.780  0.560  0.605
Ag  0.220  0.440  0.105
Sn  0.618  0.237  0.454
Sn  0.382  0.763  0.954
Sn  0.618  0.237  0.046
Sn  0.382  0.763  0.546
Sn  0.374  0.749  0.250
Sn  0.626  0.251  0.750

Results
Total DFT energy (no corrections) in eV per atom: -2.816